Here is an optimized crystal structure of PrBeOs from the Open Quantum Materials Database. Energies are from PBE.

- Electronic total energy: -61.70 eV/cell
- Energy above the lowest structure with this stoichiometry: 1013 meV/atom
- Density: 8.1 g/cm3
- Spin magnetization: 0.000 μB per atom

abc: 6.521 6.521 6.521
angles: 90.00 90.00 90.00
Fractional positions:
Pr 0.000 0.000 0.000
Pr 0.000 0.500 0.500
Pr 0.500 0.000 0.500
Pr 0.500 0.500 0.000
Be 0.250 0.250 0.750
Be 0.250 0.750 0.250
Be 0.750 0.250 0.250
Be 0.750 0.750 0.750
Os 0.250 0.250 0.250
Os 0.250 0.750 0.750
Os 0.750 0.250 0.750
Os 0.750 0.750 0.250

=====

Here is an optimized crystal structure of BeOsPt from the Open Quantum Materials Database. Energies are from PBE.

- Electronic total energy: -81.47 eV/cell
- Density: 16.1 g/cm3
- Spin magnetization: 0.004 μB per atom

abc: 5.462 5.462 5.462
angles: 90.00 90.00 90.00
Fractional positions:
Be 0.000 0.000 0.000
Be 0.000 0.500 0.500
Be 0.500 0.000 0.500
Be 0.500 0.500 0.000
Os 0.250 0.250 0.750
Os 0.250 0.750 0.250
Os 0.750 0.250 0.250
Os 0.750 0.750 0.750
Pt 0.250 0.250 0.250
Pt 0.250 0.750 0.750
Pt 0.750 0.250 0.750
Pt 0.750 0.750 0.250

=====

Here is an optimized crystal structure of Be3Os2Pt2 from the Open Quantum Materials Database. Energies are from PBE.

- Electronic total energy: -46.40 eV/cell
- Density: 15.4 g/cm3
- Spin magnetization: 0.000 μB per atom

abc: 6.764 6.764 6.764
angles: 33.92 33.92 33.92
Fractional positions:
Be 0.000 0.000 0.000
Be 0.251 0.251 0.251
Be 0.503 0.503 0.503
Os 0.123 0.123 0.123
Os 0.630 0.630 0.630
Pt 0.380 0.380 0.380
Pt 0.875 0.875 0.875

=====

Here is an optimized crystal structure of Be2OsPt2 from the Open Quantum Materials Database. Energies are from PBE.

- Electronic total energy: -64.94 eV/cell
- Density: 16.3 g/cm3
- Spin magnetization: 0.001 μB per atom

abc: 6.726 6.726 2.701
angles: 90.00 90.00 90.00
Fractional positions:
Be 0.132 0.368 0.000
Be 0.368 0.868 0.000
Be 0.632 0.132 0.000
Be 0.868 0.632 0.000
Os 0.000 0.000 0.000
Os 0.500 0.500 0.000
Pt 0.165 0.665 0.500
Pt 0.335 0.165 0.500
Pt 0.665 0.835 0.500
Pt 0.835 0.335 0.500

=====

Here is an optimized crystal structure of BeOsPt2 from the Open Quantum Materials Database. Energies are from PBE.

- Electronic total energy: -104.90 eV/cell
- Density: 17.5 g/cm3
- Spin magnetization: 0.016 μB per atom

abc: 6.075 6.075 6.075
angles: 90.00 90.00 90.00
Fractional positions:
Be 0.000 0.000 0.000
Be 0.000 0.500 0.500
Be 0.500 0.000 0.500
Be 0.500 0.500 0.000
Os 0.250 0.250 0.250
Os 0.250 0.750 0.750
Os 0.750 0.250 0.750
Os 0.750 0.750 0.250
Pt 0.000 0.000 0.500
Pt 0.000 0.500 0.000
Pt 0.250 0.250 0.750
Pt 0.250 0.750 0.250
Pt 0.500 0.000 0.000
Pt 0.500 0.500 0.500
Pt 0.750 0.250 0.250
Pt 0.750 0.750 0.750

=====

Here is an optimized crystal structure of RbBeOs from the Open Quantum Materials Database. Energies are from PBE.

- Electronic total energy: -37.95 eV/cell
- Energy above the lowest structure with this stoichiometry: 62 meV/atom
- Density: 7.1 g/cm3
- Spin magnetization: 0.334 μB per atom

abc: 6.438 6.438 6.438
angles: 90.00 90.00 90.00
Fractional positions:
Rb 0.000 0.000 0.000
Rb 0.000 0.500 0.500
Rb 0.500 0.000 0.500
Rb 0.500 0.500 0.000
Be 0.000 0.000 0.500
Be 0.000 0.500 0.000
Be 0.500 0.000 0.000
Be 0.500 0.500 0.500
Os 0.250 0.250 0.750
Os 0.250 0.750 0.250
Os 0.750 0.250 0.250
Os 0.750 0.750 0.750